# 1
# ZrHg3Pb

A relaxed structure of ZrHg3Pb (PBE, the Alexandria database).

**Energy above the lowest structure with this stoichiometry**: 0 meV per atom
**Formation energy from the elements**: 526 meV/atom
**Space group**: Pm-3m (221)
**Crystal system**: cubic
**Total magnetization**: 0.000 μB per atom

Unit cell a=5.5264 b=5.5264 c=5.5264 alpha=90.00 beta=90.00 gamma=90.00
Last column: nearest neighbours and their distance in Å.
Positions (direct):
1 Zr 0.0000 0.0000 0.0000  6 Hg 2.76
2 Hg 0.0000 0.0000 0.5000  2 Zr 2.76
3 Hg 0.0000 0.5000 0.0000  2 Zr 2.76
4 Hg 0.5000 0.0000 0.0000  2 Zr 2.76
5 Pb 0.5000 0.5000 0.5000  12 Hg 3.91

---

# 2
# ZrHg2Pb2

A relaxed structure of ZrHg2Pb2 (PBE, the Alexandria database).

**Energy above the lowest structure with this stoichiometry**: 62 meV per atom
**Formation energy from the elements**: 260 meV/atom
**Space group**: P4/mbm (127)
**Crystal system**: tetragonal
**Total magnetization**: 0.000 μB per atom

Unit cell a=8.1907 b=8.1907 c=3.9456 alpha=90.00 beta=90.00 gamma=90.00
Last column: nearest neighbours and their distance in Å.
Positions (direct):
1 Zr 0.0000 0.0000 0.0000  4 Pb 3.12
2 Zr 0.5000 0.5000 0.0000  4 Pb 3.12
3 Hg 0.1543 0.3457 0.5000  6 Pb 3.01-3.18
4 Hg 0.3457 0.8457 0.5000  6 Pb 3.01-3.18
5 Hg 0.6543 0.1543 0.5000  6 Pb 3.01-3.18
6 Hg 0.8457 0.6543 0.5000  6 Pb 3.01-3.18
7 Pb 0.1497 0.6497 0.0000  6 Hg 3.01-3.18, 2 Zr 3.12
8 Pb 0.3503 0.1497 0.0000  6 Hg 3.01-3.18, 2 Zr 3.12
9 Pb 0.6497 0.8503 0.0000  6 Hg 3.01-3.18, 2 Zr 3.12
10 Pb 0.8503 0.3503 0.0000  6 Hg 3.01-3.18, 2 Zr 3.12

---

# 3
# ZrHgPb

A relaxed structure of ZrHgPb (PBE, the Alexandria database).

**Energy above the lowest structure with this stoichiometry**: 59 meV per atom
**Formation energy from the elements**: -47 meV/atom
**Space group**: Cm (8)
**Crystal system**: monoclinic
**Total magnetization**: 0.000 μB per atom

Unit cell a=5.9932 b=5.9932 c=8.1116 alpha=108.55 beta=108.55 gamma=32.59
Last column: nearest neighbours and their distance in Å.
Positions (direct):
1 Zr 0.0000 0.0000 0.0000  2 Hg 3.10, 5 Pb 3.17-3.26, 4 Zr 3.22-3.36
2 Zr 0.6780 0.6780 0.3236  4 Hg 3.09-3.39, 4 Pb 3.14-3.38, 4 Zr 3.22-3.36
3 Hg 0.0873 0.0873 0.5771  2 Zr 3.09, 5 Hg 3.10-3.36, 4 Pb 3.18-3.24
4 Hg 0.3712 0.3712 0.6691  4 Zr 3.10-3.39, 5 Hg 3.10-3.36, 1 Pb 3.39
5 Pb 0.3936 0.3936 0.2630  5 Zr 3.14-3.26, 3 Hg 3.24-3.39, 4 Pb 3.31-3.36
6 Pb 0.7103 0.7103 0.9246  4 Zr 3.17-3.38, 2 Hg 3.18, 4 Pb 3.31-3.36

---

# 4
# ZrHgPb

A relaxed structure of ZrHgPb (PBE, the Alexandria database).

**Energy above the lowest structure with this stoichiometry**: 129 meV per atom
**Formation energy from the elements**: 23 meV/atom
**Space group**: P3m1 (156)
**Crystal system**: trigonal
**Total magnetization**: 0.000 μB per atom

Unit cell a=3.3314 b=3.3314 c=7.8055 alpha=90.00 beta=90.00 gamma=120.00
Last column: nearest neighbours and their distance in Å.
Positions (direct):
1 Zr 0.0000 0.0000 0.0000  3 Hg 3.09, 3 Pb 3.25, 6 Zr 3.33
2 Hg 0.3333 0.6667 0.3103  3 Zr 3.09, 6 Hg 3.33, 3 Pb 3.37
3 Pb 0.6667 0.3333 0.6646  3 Zr 3.25, 6 Pb 3.33, 3 Hg 3.37

---

What did the third record say?
# ZrHgPb

A relaxed structure of ZrHgPb (PBE, the Alexandria database).

**Energy above the lowest structure with this stoichiometry**: 59 meV per atom
**Formation energy from the elements**: -47 meV/atom
**Space group**: Cm (8)
**Crystal system**: monoclinic
**Total magnetization**: 0.000 μB per atom

Unit cell a=5.9932 b=5.9932 c=8.1116 alpha=108.55 beta=108.55 gamma=32.59
Last column: nearest neighbours and their distance in Å.
Positions (direct):
1 Zr 0.0000 0.0000 0.0000  2 Hg 3.10, 5 Pb 3.17-3.26, 4 Zr 3.22-3.36
2 Zr 0.6780 0.6780 0.3236  4 Hg 3.09-3.39, 4 Pb 3.14-3.38, 4 Zr 3.22-3.36
3 Hg 0.0873 0.0873 0.5771  2 Zr 3.09, 5 Hg 3.10-3.36, 4 Pb 3.18-3.24
4 Hg 0.3712 0.3712 0.6691  4 Zr 3.10-3.39, 5 Hg 3.10-3.36, 1 Pb 3.39
5 Pb 0.3936 0.3936 0.2630  5 Zr 3.14-3.26, 3 Hg 3.24-3.39, 4 Pb 3.31-3.36
6 Pb 0.7103 0.7103 0.9246  4 Zr 3.17-3.38, 2 Hg 3.18, 4 Pb 3.31-3.36